VASP calculation (GGA-PBE) on an optimized crystal structure of CrP2Ru.

The structure in POSCAR format:
```
CrP2Ru
1.0
1.4574 0.8414 7.2018
-1.4574 0.8414 7.2018
0.0000 -1.6829 7.2018
Cr P Ru
1 2 1
Cartesian
0.0000 0.0000 0.0000
0.0000 0.0000 10.6562
0.0000 0.0000 15.9413
0.0000 0.0000 5.0652
```

**Formation energy**: -0.061 eV per atom
**Distance to the lowest polymorph of the same formula**: 367 meV per atom
**Mass density**: 6.7 g/cm3
**Calculated total energy**: -7.490 eV/atom
**Crystal system**: trigonal